Entry 1:
ScSb2: optimized geometry, PBE-GGA.

Unit cell a=5.1456 b=5.1455 c=3.2930 alpha=90.00 beta=90.00 gamma=120.00
Last column: magnetic moment on the atom in μB.
Fractional positions:
Sb 0.6667 0.3333 0.2818  0.01
Sb 0.3333 0.6667 0.7182  0.01
Sc 0.0000 0.0000 0.0000  0.18

* ΔE_f (raw): -53 kJ/mol of formula units
* VASP energy: -5.043 eV per atom
* SG: P-3m1, No. 164
* DOS at the Fermi energy: 1.01 states/eV/atom

Entry 2:
Nb2TcGe: optimized geometry, PBE-GGA.

Unit cell a=2.9973 b=2.9973 c=8.9087 alpha=80.32 beta=80.32 gamma=60.00
Fractional positions:
Ge 0.5000 0.5000 0.5000
Nb 0.2522 0.2522 0.2434
Nb 0.7478 0.7478 0.7566
Tc 0.0000 0.0000 0.0000

* energy of formation from the pure elements: 29 meV per atom
* VASP energy: -8.752 eV per atom
* SG: R-3m, No. 166
* DOS at the Fermi energy: 0.86 states/eV/atom

Entry 3:
NpScAu4: optimized geometry, PBE-GGA.

Unit cell a=3.6378 b=3.6378 c=9.2385 alpha=90.00 beta=90.00 gamma=90.00
Last column: magnetic moment on the atom in μB.
Fractional positions:
Np 0.0000 0.0000 0.0000  3.84
Sc 0.5000 0.5000 0.5000  0.01
Au 0.5000 0.5000 0.8169  0.02
Au 0.0000 0.0000 0.3452  0.00
Au 0.0000 0.0000 0.6548  0.00
Au 0.5000 0.5000 0.1831  0.02

* energy of formation from the pure elements: -463 meV per atom
* VASP energy: -5.860 eV per atom
* SG: P4/mmm, No. 123
* DOS at the Fermi energy: 1.77 states/eV/atom

Entry 4:
MnAg2Br: optimized geometry, PBE-GGA.

Unit cell a=4.8590 b=4.8590 c=6.8335 alpha=82.06 beta=82.06 gamma=40.74
Last column: magnetic moment on the atom in μB.
Fractional positions:
Ag 0.9463 0.9463 0.0114  0.03
Ag 0.6816 0.6816 0.8578  0.02
Br 0.6579 0.6579 0.4570  0.06
Mn 0.2143 0.2143 0.1737  4.10

* ΔE_f (raw): 41 kJ/mol of formula units
* VASP energy: -4.031 eV per atom
* SG: Cm, No. 8
* DOS at the Fermi energy: 0.34 states/eV/atom

Entry 5:
SrLiPm2Hg4: optimized geometry, PBE-GGA.

Unit cell a=5.2786 b=5.2786 c=9.4792 alpha=73.83 beta=73.83 gamma=60.00
Fractional positions:
Hg 0.3885 0.3885 0.8345
Hg 0.6115 0.6115 0.1655
Hg 0.1263 0.1263 0.6210
Hg 0.8737 0.8737 0.3790
Li 0.5000 0.5000 0.5000
Sr 0.0000 0.0000 0.0000
Pm 0.7575 0.7575 0.7276
Pm 0.2425 0.2425 0.2724

* energy of formation from the pure elements: -441 meV per atom
* VASP energy: -2.229 eV per atom
* SG: R-3m, No. 166
* DOS at the Fermi energy: 0.61 states/eV/atom

Entry 6:
CuSbRh3: optimized geometry, PBE-GGA.

Unit cell a=4.5035 b=4.5035 c=4.5035 alpha=90.00 beta=90.00 gamma=90.00
Fractional positions:
Rh 0.0000 0.0000 0.5000
Rh 0.0000 0.5000 0.0000
Rh 0.5000 0.0000 0.0000
Sb 0.5000 0.5000 0.5000
Cu 0.0000 0.0000 0.0000

* ΔE_f (raw): 398 kJ/mol of formula units
* VASP energy: -5.230 eV per atom
* SG: Pm-3m, No. 221
* DOS at the Fermi energy: 0.84 states/eV/atom

Entry 7:
MgTiMnAs2: optimized geometry, PBE-GGA.

Unit cell a=4.6494 b=4.4329 c=4.6494 alpha=90.00 beta=90.00 gamma=90.00
Last column: magnetic moment on the atom in μB.
Fractional positions:
Mg 0.5000 0.5000 0.5000  0.01
As 0.0000 0.0000 0.5000  -0.01
As 0.5000 0.0000 0.0000  -0.03
Ti 0.0000 0.5000 0.0000  0.30
Mn 0.0000 0.0000 0.0000  0.56

* energy of formation from the pure elements: 221 meV per atom
* VASP energy: -5.371 eV per atom
* SG: P4/mmm, No. 123
* DOS at the Fermi energy: 0.59 states/eV/atom

Entry 8:
NaLi2Ag2: optimized geometry, PBE-GGA.

Unit cell a=7.9897 b=7.9897 c=3.0163 alpha=90.00 beta=90.00 gamma=90.00
Fractional positions:
Li 0.6574 0.8426 0.5000
Li 0.1574 0.6574 0.5000
Li 0.3426 0.1574 0.5000
Li 0.8426 0.3426 0.5000
Ag 0.3661 0.8661 0.0000
Ag 0.1339 0.3661 0.0000
Ag 0.8661 0.6339 0.0000
Ag 0.6339 0.1339 0.0000
Na 0.0000 0.0000 0.0000
Na 0.5000 0.5000 0.0000

* energy of formation from the pure elements: -119 meV per atom
* VASP energy: -2.289 eV per atom
* SG: P4/mbm, No. 127
* DOS at the Fermi energy: 0.32 states/eV/atom

Entry 9:
MgSc2B6: optimized geometry, PBE-GGA.

Unit cell a=3.5252 b=5.4064 c=5.4064 alpha=120.00 beta=90.00 gamma=90.00
Fractional positions:
B 0.5000 0.6651 0.0000
B 0.5000 0.0000 0.3348
B 0.5000 0.0000 0.6652
B 0.5000 0.3348 0.3348
B 0.5000 0.3348 0.0000
B 0.5000 0.6651 0.6652
Mg 0.0000 0.0000 0.0000
Sc 0.0000 0.3333 0.6667
Sc 0.0000 0.6667 0.3333

* energy of formation from the pure elements: -605 meV per atom
* VASP energy: -6.641 eV per atom
* SG: P6/mmm, No. 191
* DOS at the Fermi energy: 0.20 states/eV/atom

Entry 10:
La7PrBr12: optimized geometry, PBE-GGA.

Unit cell a=9.8353 b=9.8353 c=9.8353 alpha=108.91 beta=108.91 gamma=108.91
Last column: magnetic moment on the atom in μB.
Fractional positions:
Br 0.4922 0.1661 0.3987  0.00
Br 0.2101 0.0746 0.6939  0.01
Br 0.7899 0.9254 0.3061  0.01
Br 0.3987 0.4922 0.1661  0.00
Br 0.1661 0.3987 0.4922  0.00
Br 0.6013 0.5078 0.8339  0.00
Br 0.3061 0.7899 0.9254  0.01
Br 0.6939 0.2101 0.0746  0.01
Br 0.8339 0.6013 0.5078  0.00
Br 0.9254 0.3061 0.7899  0.01
Br 0.5078 0.8339 0.6013  0.00
Br 0.0746 0.6939 0.2101  0.01
La 0.6477 0.8582 0.9441  0.20
La 0.1418 0.0559 0.3523  0.20
La 0.0559 0.3523 0.1418  0.20
La 0.5000 0.5000 0.5000  0.19
La 0.8582 0.9441 0.6477  0.20
La 0.3523 0.1418 0.0559  0.20
La 0.9441 0.6477 0.8582  0.20
Pr 0.0000 0.0000 0.0000  0.76

* ΔE_f (raw): -2857 kJ/mol of formula units
* VASP energy: -4.448 eV per atom
* SG: R-3, No. 148
* DOS at the Fermi energy: 0.54 states/eV/atom

Entry 11:
VTc4As2: optimized geometry, PBE-GGA.

Unit cell a=4.4395 b=4.4395 c=7.0173 alpha=71.56 beta=71.56 gamma=90.00
Fractional positions:
Tc 0.5000 0.0000 0.0000
Tc 0.1852 0.1852 0.6296
Tc 0.8148 0.8148 0.3704
Tc 0.0000 0.5000 0.0000
As 0.6227 0.6227 0.7546
As 0.3773 0.3773 0.2454
V 0.0000 0.0000 0.0000

* energy of formation from the pure elements: 952 meV per atom
* VASP energy: -7.602 eV per atom
* SG: I4/mmm, No. 139
* DOS at the Fermi energy: 1.14 states/eV/atom

Entry 12:
SrNi2OsPd: optimized geometry, PBE-GGA.

Unit cell a=4.5999 b=4.5999 c=4.9388 alpha=90.00 beta=90.00 gamma=90.00
Last column: magnetic moment on the atom in μB.
Fractional positions:
Pd 0.0000 0.0000 0.5000  0.12
Sr 0.0000 0.0000 0.0000  -0.05
Ni 0.5000 0.0000 0.0000  0.33
Ni 0.0000 0.5000 0.0000  0.33
Os 0.5000 0.5000 0.5000  2.35

* energy of formation from the pure elements: 2252 meV per atom
* VASP energy: -3.682 eV per atom
* SG: P4/mmm, No. 123
* DOS at the Fermi energy: 1.15 states/eV/atom

Entry 13:
Tb7Ho3Tm2: optimized geometry, PBE-GGA.

Unit cell a=5.4760 b=6.1812 c=11.8931 alpha=91.29 beta=90.00 gamma=90.00
Fractional positions:
Tb 0.5000 0.2393 0.4532
Tb 0.0000 0.4373 0.1825
Tb 0.5000 0.9090 0.8313
Tb 0.5000 0.7607 0.5468
Tb 0.5000 0.0910 0.1687
Tb 0.0000 0.0000 0.0000
Tb 0.0000 0.5627 0.8175
Tm 0.5000 0.6149 0.2773
Tm 0.5000 0.3851 0.7227
Ho 0.0000 0.0583 0.6604
Ho 0.0000 0.9417 0.3396
Ho 0.5000 0.5000 0.0000

* energy of formation from the pure elements: 306 meV per atom
* VASP energy: -4.285 eV per atom
* SG: P2/m, No. 10
* DOS at the Fermi energy: 1.56 states/eV/atom

Entry 14:
NdRhPb: optimized geometry, PBE-GGA.

Unit cell a=4.7258 b=4.7210 c=8.4109 alpha=106.39 beta=90.00 gamma=120.03
Fractional positions:
Pb 0.5000 0.0000 0.5000
Pb 0.0000 0.0000 0.0000
Rh 0.8673 0.7346 0.6005
Rh 0.1327 0.2654 0.3995
Nd 0.7430 0.4861 0.2283
Nd 0.2570 0.5139 0.7717

* energy of formation from the pure elements: -482 meV per atom
* VASP energy: -5.758 eV per atom
* SG: C2/m, No. 12
* DOS at the Fermi energy: 0.93 states/eV/atom

Entry 15:
Ba2AgSbS4: optimized geometry, PBE-GGA.

Unit cell a=8.5051 b=8.5051 c=8.7340 alpha=120.88 beta=120.88 gamma=89.86
Fractional positions:
S 0.7522 0.2835 0.5177
S 0.2420 0.2580 0.4737
S 0.2165 0.7478 0.9823
S 0.7835 0.2522 0.0177
S 0.2420 0.2580 0.0263
S 0.7580 0.7420 0.5263
S 0.7580 0.7420 0.9737
S 0.2478 0.7165 0.4823
Ba 0.0000 0.0000 0.5000
Ba 0.5000 0.0000 0.0000
Ba 0.5000 0.5000 0.0000
Ba 0.5000 0.0000 0.5000
Ag 0.0000 0.5000 0.0000
Ag 0.0000 0.5000 0.5000
Sb 0.0000 0.0000 0.0000
Sb 0.5000 0.5000 0.5000

* ΔE_f (raw): -775 kJ/mol of formula units
* VASP energy: -4.421 eV per atom
* SG: Imma, No. 74

Entry 16:
PmHo7Er12: optimized geometry, PBE-GGA.

Unit cell a=8.6097 b=8.6097 c=8.6097 alpha=95.20 beta=95.20 gamma=95.20
Fractional positions:
Er 0.6803 0.8098 0.2507
Er 0.3197 0.1902 0.7493
Er 0.7493 0.3197 0.1902
Er 0.4135 0.4761 0.1460
Er 0.8540 0.5865 0.5239
Er 0.2507 0.6803 0.8098
Er 0.5239 0.8540 0.5865
Er 0.1902 0.7493 0.3197
Er 0.8098 0.2507 0.6803
Er 0.5865 0.5239 0.8540
Er 0.4761 0.1460 0.4135
Er 0.1460 0.4135 0.4761
Ho 0.9847 0.9193 0.6490
Ho 0.9193 0.6490 0.9847
Ho 0.6490 0.9847 0.9193
Ho 0.3510 0.0153 0.0807
Ho 0.0807 0.3510 0.0153
Ho 0.5000 0.5000 0.5000
Ho 0.0153 0.0807 0.3510
Pm 0.0000 0.0000 0.0000

* energy of formation from the pure elements: 311 meV per atom
* VASP energy: -4.267 eV per atom
* SG: R-3, No. 148
* DOS at the Fermi energy: 0.89 states/eV/atom

Entry 17:
SmTm2Ag2Pb2: optimized geometry, PBE-GGA.

Unit cell a=4.9266 b=4.9266 c=9.1089 alpha=74.31 beta=74.31 gamma=60.00
Fractional positions:
Pb 0.7344 0.7344 0.7968
Pb 0.2656 0.2656 0.2032
Tm 0.1343 0.1343 0.5970
Tm 0.8657 0.8657 0.4030
Sm 0.0000 0.0000 0.0000
Ag 0.4430 0.4430 0.6709
Ag 0.5570 0.5570 0.3291

* energy of formation from the pure elements: -291 meV per atom
* VASP energy: -4.117 eV per atom
* SG: R-3m, No. 166
* DOS at the Fermi energy: 0.56 states/eV/atom

Entry 18:
La4In3Cu: optimized geometry, PBE-GGA.

Unit cell a=3.7282 b=3.7282 c=16.8489 alpha=90.00 beta=90.00 gamma=90.00
Fractional positions:
In 0.5000 0.5000 0.2360
In 0.5000 0.5000 0.7640
In 0.5000 0.5000 0.5000
La 0.0000 0.0000 0.6315
La 0.0000 0.0000 0.8947
La 0.0000 0.0000 0.3685
La 0.0000 0.0000 0.1053
Cu 0.5000 0.5000 0.0000

* energy of formation from the pure elements: -416 meV per atom
* VASP energy: -4.419 eV per atom
* SG: P4/mmm, No. 123
* DOS at the Fermi energy: 1.00 states/eV/atom

Entry 19:
MnSb2I8: optimized geometry, PBE-GGA.

Unit cell a=7.9297 b=8.6256 c=8.6256 alpha=97.75 beta=82.43 gamma=82.43
Last column: magnetic moment on the atom in μB.
Fractional positions:
Mn 0.0000 0.0000 0.0000  4.34
I 0.2121 0.7677 0.7677  0.03
I 0.7273 0.5980 0.5980  0.00
I 0.7879 0.2323 0.2323  0.03
I 0.2170 0.2459 0.9214  0.03
I 0.7830 0.7541 0.0786  0.03
I 0.2727 0.4020 0.4020  0.00
I 0.7830 0.0786 0.7541  0.03
I 0.2170 0.9214 0.2459  0.03
Sb 0.5738 0.8373 0.8373  0.01
Sb 0.4262 0.1627 0.1627  0.01

* ΔE_f (raw): -281 kJ/mol of formula units
* VASP energy: -2.975 eV per atom
* SG: C2/m, No. 12

Entry 20:
SrHg2Ir: optimized geometry, PBE-GGA.

Unit cell a=4.7374 b=4.7374 c=6.0213 alpha=66.81 beta=66.81 gamma=60.01
Fractional positions:
Hg 0.0323 0.0323 0.9028
Hg 0.7898 0.7898 0.6307
Ir 0.4362 0.4362 0.6914
Sr 0.2417 0.2417 0.2750

* energy of formation from the pure elements: -84 meV per atom
* VASP energy: -2.871 eV per atom
* SG: R3m, No. 160
* DOS at the Fermi energy: 0.37 states/eV/atom